Crystalline FeP2SeO at its relaxed geometry, computed with PBE with a Hubbard U.

```
5
Lattice="4.734 0.000 0.000 0.000 4.734 0.000 0.000 0.000 3.562" Properties=species:S:1:pos:R:3 pbc="T T T"
Fe 0.000 0.000 0.000
P 0.000 2.367 0.000
P 2.367 0.000 0.000
Se 2.367 2.367 1.781
O 0.000 0.000 1.781
```

Output
**Offset from the most stable computed form**: 0.00 eV per formula unit
**Total magnetization**: 2.58 μB per cell